# Ce2YErSe5

A relaxed Ce2YErSe5 crystal (PBE, the Alexandria database).

Cell: 5.1097 5.1097 10.7399 Å, 90.00 90.00 90.00°
Space group P4/mmm (No. 123)
Symmetry-distinct sites (fractional):
Ce 0.0000 0.0000 0.1978 (multiplicity 2)
Y 0.5000 0.5000 0.5000 (multiplicity 1)
Er 0.5000 0.5000 0.0000 (multiplicity 1)
Se 0.0000 0.0000 0.5000 (multiplicity 1)
Se 0.0000 0.5000 0.0000 (multiplicity 2)
Se 0.5000 0.5000 0.2548 (multiplicity 2)

Mass density   5.5 g/cm3
DFT total energy   -52.22 eV per cell


# Sm2TmTc9

A relaxed Sm2TmTc9 crystal (PBE, the Alexandria database).

Cell: 5.3439 5.3439 26.5454 Å, 90.00 90.00 120.00°
Space group R-3m (No. 166, hexagonal axes)
Symmetry-distinct sites (fractional):
Sm 0.0000 0.0000 0.1442 (multiplicity 6)
Tm 0.0000 0.0000 0.0000 (multiplicity 3)
Tc 0.0000 0.0000 0.3370 (multiplicity 6)
Tc 0.0000 0.0000 0.5000 (multiplicity 3)
Tc 0.0074 0.5037 0.9180 (multiplicity 18)

E_form   0.016 eV per atom
Mass density   10.3 g/cm3
DFT total energy   -321.02 eV per cell


# TbDyY3

A relaxed TbDyY3 crystal (PBE, the Alexandria database).

Cell: 6.3131 5.6472 9.6404 Å, 90.00 109.09 90.00°
Space group P2_1/m (No. 11)
Symmetry-distinct sites (fractional):
Tb 0.0693 0.2500 0.2995 (multiplicity 2)
Dy 0.4685 0.2500 0.1002 (multiplicity 2)
Y 0.1359 0.7500 0.0994 (multiplicity 2)
Y 0.2640 0.2500 0.7009 (multiplicity 2)
Y 0.3331 0.7500 0.5010 (multiplicity 2)

Energy above the lowest structure with this stoichiometry   0.00 eV/f.u.
E_form   0.002 eV per atom
Mass density   6.0 g/cm3
DFT total energy   -57.23 eV per cell


# LiPrGaCu

A relaxed LiPrGaCu crystal (PBE, the Alexandria database).

Cell: 6.6684 6.6684 6.6684 Å, 90.00 90.00 90.00°
Space group F-43m (No. 216)
Symmetry-distinct sites (fractional):
Li 0.0000 0.0000 0.0000 (multiplicity 4)
Pr 0.2500 0.2500 0.2500 (multiplicity 4)
Ga 0.2500 0.2500 0.7500 (multiplicity 4)
Cu 0.0000 0.0000 0.5000 (multiplicity 4)

E_form   -0.322 eV per atom
Mass density   6.3 g/cm3
DFT total energy   -60.42 eV per cell


# TlSiPt2

A relaxed TlSiPt2 crystal (PBE, the Alexandria database).

Cell: 3.8795 3.8795 17.7268 Å, 90.00 90.00 120.00°
Space group R3m (No. 160, hexagonal axes)
Symmetry-distinct sites (fractional):
Tl 0.0000 0.0000 0.0000 (multiplicity 3)
Si 0.0000 0.0000 0.1706 (multiplicity 3)
Pt 0.0000 0.0000 0.5571 (multiplicity 3)
Pt 0.0000 0.0000 0.7802 (multiplicity 3)

Mass density   13.4 g/cm3
DFT total energy   -63.15 eV per cell


# Mn3Ag

A relaxed Mn3Ag crystal (PBE, the Alexandria database).

Cell: 2.7267 2.7267 7.4818 Å, 90.00 90.00 90.00°
Space group P4/mmm (No. 123)
Symmetry-distinct sites (fractional):
Mn 0.0000 0.0000 0.0000 (multiplicity 1)
Mn 0.5000 0.5000 0.2151 (multiplicity 2)
Ag 0.0000 0.0000 0.5000 (multiplicity 1)

E_form   0.247 eV per atom
Mass density   8.1 g/cm3
DFT total energy   -29.37 eV per cell


# Y2HgCl

A relaxed Y2HgCl crystal (PBE, the Alexandria database).

Cell: 7.0702 4.0558 7.4852 Å, 90.00 108.11 90.00°
Space group C2/m (No. 12)
Symmetry-distinct sites (fractional):
Y 0.2439 0.0000 0.2309 (multiplicity 4)
Hg 0.0000 0.0000 0.5000 (multiplicity 2)
Cl 0.0000 0.5000 0.0000 (multiplicity 2)

Energy above the lowest structure with this stoichiometry   0.31 eV/f.u.
Mass density   6.7 g/cm3
DFT total energy   -36.77 eV per cell


# TlCrW2

A relaxed TlCrW2 crystal (PBE, the Alexandria database).

Cell: 2.9555 2.9555 27.0053 Å, 90.00 90.00 120.00°
Space group R-3m (No. 166, hexagonal axes)
Symmetry-distinct sites (fractional):
Tl 0.0000 0.0000 0.0000 (multiplicity 3)
Cr 0.0000 0.0000 0.5000 (multiplicity 3)
W 0.0000 0.0000 0.2389 (multiplicity 6)

Energy above the lowest structure with this stoichiometry   0.74 eV/f.u.
E_form   0.790 eV per atom
Mass density   15.2 g/cm3
DFT total energy   -104.20 eV per cell


# CsNaIn2Sb2

A relaxed CsNaIn2Sb2 crystal (PBE, the Alexandria database).

Cell: 5.3147 5.3147 8.7465 Å, 90.00 90.00 120.00°
Space group P-3m1 (No. 164)
Symmetry-distinct sites (fractional):
Cs 0.0000 0.0000 0.0000 (multiplicity 1)
Na 0.0000 0.0000 0.5000 (multiplicity 1)
In 0.3333 0.6667 0.6384 (multiplicity 2)
Sb 0.3333 0.6667 0.2930 (multiplicity 2)

Mass density   4.9 g/cm3
DFT total energy   -17.84 eV per cell


# As2Ir2Au

A relaxed As2Ir2Au crystal (PBE, the Alexandria database).

Cell: 7.4233 7.4233 3.0244 Å, 90.00 90.00 90.00°
Space group P4/mbm (No. 127)
Symmetry-distinct sites (fractional):
As 0.1518 0.3482 0.0000 (multiplicity 4)
Ir 0.1387 0.6387 0.5000 (multiplicity 4)
Au 0.0000 0.0000 0.5000 (multiplicity 2)

Energy above the lowest structure with this stoichiometry   0.00 eV/f.u.
E_form   0.134 eV per atom
Mass density   14.6 g/cm3
DFT total energy   -59.25 eV per cell


# Pm2PrPaRu2

A relaxed Pm2PrPaRu2 crystal (PBE, the Alexandria database).

Cell: 7.2042 13.5349 6.8650 Å, 90.00 90.00 90.00°
Space group Ibam (No. 72)
Symmetry-distinct sites (fractional):
Pm 0.1921 0.1978 0.0000 (multiplicity 8)
Pr 0.0000 0.5000 0.2500 (multiplicity 4)
Pa 0.0000 0.0000 0.2500 (multiplicity 4)
Ru 0.2007 0.0967 0.5000 (multiplicity 8)

E_form   -0.243 eV per atom
Mass density   8.6 g/cm3
DFT total energy   -175.14 eV per cell


# Na3ScTe2Se6

A relaxed Na3ScTe2Se6 crystal (PBE, the Alexandria database).

Cell: 7.0722 13.0606 7.1956 Å, 90.00 109.36 90.00°
Space group C2/m (No. 12)
Symmetry-distinct sites (fractional):
Na 0.0000 0.0000 0.0000 (multiplicity 2)
Na 0.0000 0.3187 0.0000 (multiplicity 4)
Sc 0.0000 0.5000 0.5000 (multiplicity 2)
Te 0.0000 0.1601 0.5000 (multiplicity 4)
Se 0.2389 0.5000 0.2704 (multiplicity 4)
Se 0.2405 0.3464 0.7204 (multiplicity 8)

Mass density   4.5 g/cm3
DFT total energy   -92.37 eV per cell


# Be2RhBr

A relaxed Be2RhBr crystal (PBE, the Alexandria database).

Cell: 3.1010 4.4142 7.7799 Å, 90.00 90.00 90.00°
Space group Immm (No. 71)
Symmetry-distinct sites (fractional):
Be 0.0000 0.0000 0.2461 (multiplicity 4)
Rh 0.0000 0.5000 0.5000 (multiplicity 2)
Br 0.0000 0.5000 0.0000 (multiplicity 2)

Energy above the lowest structure with this stoichiometry   2.64 eV/f.u.
Mass density   6.3 g/cm3
DFT total energy   -29.14 eV per cell


# PmPaRu

A relaxed PmPaRu crystal (PBE, the Alexandria database).

Cell: 7.5923 5.8873 3.7271 Å, 90.00 90.00 90.00°
Space group Pmma (No. 51)
Symmetry-distinct sites (fractional):
Pm 0.2500 0.0000 0.1883 (multiplicity 2)
Pa 0.0000 0.5000 0.5000 (multiplicity 2)
Ru 0.2500 0.5000 0.9662 (multiplicity 2)

Energy above the lowest structure with this stoichiometry   0.22 eV/f.u.
E_form   -0.211 eV per atom
Mass density   9.5 g/cm3
DFT total energy   -48.31 eV per cell


# BaPr2Pd

A relaxed BaPr2Pd crystal (PBE, the Alexandria database).

Cell: 4.2820 4.2820 30.0847 Å, 90.00 90.00 120.00°
Space group R-3m (No. 166, hexagonal axes)
Symmetry-distinct sites (fractional):
Ba 0.0000 0.0000 0.0000 (multiplicity 3)
Pr 0.0000 0.0000 0.2187 (multiplicity 6)
Pd 0.0000 0.0000 0.5000 (multiplicity 3)

Energy above the lowest structure with this stoichiometry   0.04 eV/f.u.
E_form   -0.246 eV per atom
Mass density   5.5 g/cm3
DFT total energy   -52.98 eV per cell


# YNiTeIr2

A relaxed YNiTeIr2 crystal (PBE, the Alexandria database).

Cell: 4.9288 4.9288 4.5308 Å, 90.00 90.00 90.00°
Space group P4/mmm (No. 123)
Symmetry-distinct sites (fractional):
Y 0.0000 0.0000 0.0000 (multiplicity 1)
Ni 0.5000 0.5000 0.0000 (multiplicity 1)
Te 0.5000 0.5000 0.5000 (multiplicity 1)
Ir 0.0000 0.5000 0.5000 (multiplicity 2)

Mass density   10.0 g/cm3
DFT total energy   -30.77 eV per cell


# Th3Cu3Pb4

A relaxed Th3Cu3Pb4 crystal (PBE, the Alexandria database).

Cell: 9.9455 9.9455 9.9455 Å, 90.00 90.00 90.00°
Space group I-43d (No. 220)
Symmetry-distinct sites (fractional):
Th 0.0000 0.2500 0.8750 (multiplicity 12)
Cu 0.0000 0.2500 0.3750 (multiplicity 12)
Pb 0.0838 0.4162 0.5838 (multiplicity 16)

E_form   -0.301 eV per atom
Mass density   11.6 g/cm3
DFT total energy   -209.56 eV per cell


# YGaC3

A relaxed YGaC3 crystal (PBE, the Alexandria database).

Cell: 4.5736 4.5736 4.5736 Å, 90.00 90.00 90.00°
Space group Pm-3m (No. 221)
Symmetry-distinct sites (fractional):
Y 0.0000 0.0000 0.0000 (multiplicity 1)
Ga 0.5000 0.5000 0.5000 (multiplicity 1)
C 0.0000 0.0000 0.5000 (multiplicity 3)

Energy above the lowest structure with this stoichiometry   5.23 eV/f.u.
E_form   2.617 eV per atom
Mass density   3.4 g/cm3
DFT total energy   -24.08 eV per cell


# NdY5Zn6

A relaxed NdY5Zn6 crystal (PBE, the Alexandria database).

Cell: 5.0771 15.2590 7.2203 Å, 90.00 90.00 90.00°
Space group Cmmm (No. 65)
Symmetry-distinct sites (fractional):
Nd 0.0000 0.0000 0.0000 (multiplicity 2)
Y 0.0000 0.0000 0.5000 (multiplicity 2)
Y 0.0000 0.3321 0.0000 (multiplicity 4)
Y 0.0000 0.3349 0.5000 (multiplicity 4)
Zn 0.0000 0.1692 0.2550 (multiplicity 8)
Zn 0.0000 0.5000 0.2553 (multiplicity 4)

E_form   -0.347 eV per atom
Mass density   5.8 g/cm3
DFT total energy   -97.79 eV per cell


# FeIr5Rh4

A relaxed FeIr5Rh4 crystal (PBE, the Alexandria database).

Cell: 13.0029 2.7552 8.4535 Å, 90.00 95.27 90.00°
Space group C2/m (No. 12)
Symmetry-distinct sites (fractional):
Fe 0.0000 0.0000 0.0000 (multiplicity 2)
Ir 0.0000 0.0000 0.5000 (multiplicity 2)
Ir 0.1659 0.5000 0.0213 (multiplicity 4)
Ir 0.1692 0.5000 0.4526 (multiplicity 4)
Rh 0.0182 0.5000 0.2359 (multiplicity 4)
Rh 0.1770 0.0000 0.7400 (multiplicity 4)

E_form   0.252 eV per atom
Mass density   15.7 g/cm3
DFT total energy   -159.31 eV per cell